Entry 1:
{
  "formula": "KBOs3",
  "functional": "meta-GGA SCAN",
  "state": "single point on PBEsol structure",
  "sg": "No. 221",
  "ef_mev_per_atom": 1222,
  "crystal_system": "cubic",
  "lattice_angstrom": [[4.217, 0.000, 0.000], [0.000, 4.217, 0.000], [0.000, 0.000, 4.217]],
  "species": ["K", "B", "Os", "Os", "Os"],
  "fractional_positions": [[0.000, 0.000, 0.000], [0.500, 0.500, 0.500], [0.000, 0.500, 0.500], [0.500, 0.000, 0.500], [0.500, 0.500, 0.000]]
}


Entry 2:
{
  "formula": "YHBr2",
  "functional": "meta-GGA SCAN",
  "state": "single point on PBEsol structure",
  "sg": "No. 122",
  "crystal_system": "tetragonal",
  "lattice_angstrom": [[-5.098, 5.098, 2.080], [5.098, -5.098, 2.080], [5.098, 5.098, -2.080]],
  "species": ["Y", "Y", "H", "H", "Br", "Br", "Br", "Br"],
  "fractional_positions": [[0.000, 0.000, 0.000], [0.750, 0.250, 0.500], [0.250, 0.750, 0.500], [0.500, 0.500, 0.000], [0.375, 0.218, 0.343], [0.782, 0.125, 0.157], [0.875, 0.032, 0.657], [0.968, 0.625, 0.843]]
}


Entry 3:
{
  "formula": "Si3Ni",
  "functional": "meta-GGA SCAN",
  "state": "single point on PBEsol structure",
  "sg": "No. 194",
  "crystal_system": "hexagonal",
  "raw_formation_energy_ev_per_atom": 0.401,
  "lattice_angstrom": [[5.359, 0.000, 0.000], [-2.679, 4.641, 0.000], [0.000, 0.000, 4.144]],
  "species": ["Si", "Si", "Si", "Si", "Si", "Si", "Ni", "Ni"],
  "fractional_positions": [[0.174, 0.347, 0.250], [0.174, 0.826, 0.250], [0.347, 0.174, 0.750], [0.653, 0.826, 0.250], [0.826, 0.174, 0.750], [0.826, 0.653, 0.750], [0.333, 0.667, 0.750], [0.667, 0.333, 0.250]]
}


Entry 4:
{
  "formula": "NaLaCu3",
  "functional": "meta-GGA SCAN",
  "state": "single point on PBEsol structure",
  "sg": "No. 221",
  "ef_mev_per_atom": 916,
  "crystal_system": "cubic",
  "lattice_angstrom": [[5.276, 0.000, 0.000], [0.000, 5.276, 0.000], [0.000, 0.000, 5.276]],
  "species": ["Na", "La", "Cu", "Cu", "Cu"],
  "fractional_positions": [[0.000, 0.000, 0.000], [0.500, 0.500, 0.500], [0.000, 0.500, 0.500], [0.500, 0.000, 0.500], [0.500, 0.500, 0.000]]
}


Entry 5:
{
  "formula": "PrHg",
  "functional": "meta-GGA SCAN",
  "state": "single point on PBEsol structure",
  "sg": "No. 221",
  "ef_mev_per_atom": -678,
  "crystal_system": "cubic",
  "lattice_angstrom": [[3.789, 0.000, 0.000], [0.000, 3.789, 0.000], [0.000, 0.000, 3.789]],
  "species": ["Pr", "Hg"],
  "fractional_positions": [[0.000, 0.000, 0.000], [0.500, 0.500, 0.500]]
}


Entry 6:
{
  "formula": "CaMg2Pt",
  "functional": "meta-GGA SCAN",
  "state": "single point on PBEsol structure",
  "sg": "No. 65",
  "ef_mev_per_atom": -173,
  "crystal_system": "orthorhombic",
  "lattice_angstrom": [[2.863, -4.713, 0.000], [2.863, 4.713, 0.000], [0.000, 0.000, 3.033]],
  "species": ["Ca", "Mg", "Mg", "Pt"],
  "fractional_positions": [[0.000, 0.000, 0.000], [0.000, 0.500, 0.500], [0.500, 0.000, 0.500], [0.500, 0.500, 0.000]]
}


Entry 7:
{
  "formula": "LiMn3Sb",
  "functional": "meta-GGA SCAN",
  "state": "single point on PBEsol structure",
  "sg": "No. 221",
  "crystal_system": "cubic",
  "raw_formation_energy_ev_per_atom": 0.478,
  "lattice_angstrom": [[4.230, 0.000, 0.000], [0.000, 4.230, 0.000], [0.000, 0.000, 4.230]],
  "species": ["Li", "Mn", "Mn", "Mn", "Sb"],
  "fractional_positions": [[0.000, 0.000, 0.000], [0.000, 0.000, 0.500], [0.000, 0.500, 0.000], [0.500, 0.000, 0.000], [0.500, 0.500, 0.500]]
}


Entry 8:
{
  "formula": "Sc2ReW",
  "functional": "meta-GGA SCAN",
  "state": "single point on PBEsol structure",
  "sg": "No. 225",
  "ef_mev_per_atom": 446,
  "crystal_system": "cubic",
  "e_above_lowest_polymorph_ev_per_atom": 0.528,
  "lattice_angstrom": [[0.000, 3.240, 3.240], [3.240, 0.000, 3.240], [3.240, 3.240, 0.000]],
  "species": ["Sc", "Sc", "Re", "W"],
  "fractional_positions": [[0.250, 0.250, 0.250], [0.750, 0.750, 0.750], [0.000, 0.000, 0.000], [0.500, 0.500, 0.500]]
}


| no. | raw total energy (eV per atom) |
| --- | --- |
| 1 | -45.0574 |
| 2 | -19.0355 |
| 3 | -11.1537 |
| 4 | -17.6671 |
| 5 | -56.4243 |
| 6 | -22.6236 |
| 7 | -18.4057 |
| 8 | -41.8687 |